## Na2MnVO4 (GGA+U)

Data for an optimized crystal structure of Na2MnVO4.

- ρ: 4.169 g/cm³
- Total magnetization: 4.028 μB/f.u.
- Electronic total energy: -6.34 eV/atom

Unit cell a=5.283 b=3.025 c=5.659 alpha=90.00 beta=108.04 gamma=90.00
Fractional coordinates of all 8 atoms:
Na1 0.000 0.000 0.000
Na2 0.500 0.500 0.000
Mn1 0.000 0.500 0.500
V1 0.500 0.000 0.500
O1 0.228 0.000 0.699
O2 0.263 0.500 0.301
O3 0.737 0.500 0.699
O4 0.772 0.000 0.301